1.
First-principles (PBE) data for an optimized crystal structure of KLiBe2, as listed in Alexandria.

Geometry as POSCAR:
```
KLiBe2
1.0
0.000 3.543 3.543
3.543 0.000 3.543
3.543 3.543 0.000
K Be Li
1 2 1
Direct
0.500 0.500 0.500
0.750 0.750 0.750
0.250 0.250 0.250
0.000 0.000 0.000
```

Output
- Calculated formation energy: 1110 meV/atom

***

2.
First-principles (PBE) data for an optimized crystal structure of CeYGa2Pd4, as listed in Alexandria.

Geometry as POSCAR:
```
CeYGa2Pd4
1.0
5.685 0.000 0.000
0.000 7.130 0.000
0.000 0.000 7.470
Pd Ce Ga Y
8 2 4 2
Direct
0.835 0.199 0.816
0.336 0.301 0.683
0.165 0.199 0.316
0.664 0.699 0.183
0.835 0.801 0.816
0.165 0.801 0.316
0.336 0.699 0.683
0.664 0.301 0.183
0.898 0.500 0.534
0.102 0.500 0.034
0.600 0.500 0.887
0.400 0.500 0.387
0.101 0.000 0.616
0.899 0.000 0.116
0.600 0.000 0.466
0.400 0.000 0.966
```

Output
- Calculated formation energy: -847 meV/atom

***

3.
First-principles (PBE) data for an optimized crystal structure of TcPbBr2, as listed in Alexandria.

Geometry as POSCAR:
```
TcPbBr2
1.0
-0.337 3.441 -0.581
-5.511 -0.106 2.572
1.993 0.922 4.307
Pb Br Tc
1 2 1
Direct
0.500 0.000 0.500
0.000 0.000 0.000
0.500 0.500 0.000
0.000 0.500 0.500
```

***

For the records above, the corresponding raw total energy values read -6.024, -91.992, -15.485 eV per cell.